# Mg4Si3 PBE relaxed
data_Mg4Si3
_cell_length_a 6.042
_cell_length_b 7.206
_cell_length_c 7.604
_cell_angle_alpha 107.72
_cell_angle_beta 111.18
_cell_angle_gamma 103.73
_space_group_name_H-M_alt 'P 1'
_space_group_IT_number 1
loop_
_space_group_symop_operation_xyz
'x,y,z'
loop_
_atom_site_label
_atom_site_type_symbol
_atom_site_fract_x
_atom_site_fract_y
_atom_site_fract_z
Si1 Si 0.208 0.744 0.904
Mg1 Mg 0.391 0.960 0.710
Si2 Si 0.556 0.120 0.473
Mg2 Mg 0.822 0.515 0.505
Si3 Si 0.112 0.462 0.303
Mg3 Mg 0.375 0.428 0.686
Mg4 Mg 0.931 0.370 0.870
Mg5 Mg 0.256 0.161 0.115
Si4 Si 0.804 0.805 0.838
Si5 Si 0.896 0.985 0.615
Mg6 Mg 0.482 0.686 0.240
Si6 Si 0.648 0.390 0.074
Mg7 Mg 0.734 0.069 0.171
Mg8 Mg 0.035 0.805 0.245
# - Symmetry: P1, No. 1
# - Size of the total moment: 0.0 μB per formula unit
# - D(E_F): 2.00 states/eV/f.u.
# - Energy relative to the elements, uncorrected: -2.9 meV per atom
# - Total energy: -3.2382 eV/atom

# Rb3DyBi2Se6 PBE relaxed
data_Rb3DyBi2Se6
_cell_length_a 7.491
_cell_length_b 7.491
_cell_length_c 8.385
_cell_angle_alpha 98.56
_cell_angle_beta 98.56
_cell_angle_gamma 119.99
_space_group_name_H-M_alt 'P 1'
_space_group_IT_number 1
loop_
_space_group_symop_operation_xyz
'x,y,z'
loop_
_atom_site_label
_atom_site_type_symbol
_atom_site_fract_x
_atom_site_fract_y
_atom_site_fract_z
Se1 Se 0.259 0.259 0.800
Se2 Se 0.066 0.392 0.199
Se3 Se 0.934 0.608 0.801
Rb1 Rb 0.500 0.500 0.500
Rb2 Rb 0.830 0.170 0.500
Rb3 Rb 0.170 0.830 0.500
Se4 Se 0.741 0.741 0.200
Se5 Se 0.608 0.934 0.801
Se6 Se 0.392 0.066 0.199
Dy1 Dy 0.000 0.000 0.000
Bi1 Bi 0.334 0.666 0.000
Bi2 Bi 0.666 0.334 0.000
# - Symmetry: C2/m, No. 12
# - Size of the total moment: 0.0 μB per formula unit
# - D(E_F): 0.00 states/eV/f.u.
# - Energy relative to the elements, uncorrected: -1105.3 meV per atom
# - Total energy: -4.1198 eV/atom

# TaRh2N2 PBE relaxed
data_TaRh2N2
_cell_length_a 5.701
_cell_length_b 5.701
_cell_length_c 3.950
_cell_angle_alpha 90.00
_cell_angle_beta 90.00
_cell_angle_gamma 90.00
_space_group_name_H-M_alt 'P 1'
_space_group_IT_number 1
loop_
_space_group_symop_operation_xyz
'x,y,z'
loop_
_atom_site_label
_atom_site_type_symbol
_atom_site_fract_x
_atom_site_fract_y
_atom_site_fract_z
N1 N 0.684 0.816 0.000
Rh1 Rh 0.832 0.332 0.500
Rh2 Rh 0.168 0.668 0.500
Ta1 Ta 0.500 0.500 0.000
Rh3 Rh 0.332 0.168 0.500
Ta2 Ta 0.000 0.000 0.000
N2 N 0.316 0.184 0.000
Rh4 Rh 0.668 0.832 0.500
N3 N 0.184 0.684 0.000
N4 N 0.816 0.316 0.000
# - Symmetry: P4/mbm, No. 127
# - Size of the total moment: 0.0 μB per formula unit
# - D(E_F): 2.97 states/eV/f.u.
# - Energy relative to the elements, uncorrected: -194.6 meV per atom
# - Total energy: -8.8358 eV/atom

# Mg3Ga4Rh PBE relaxed
data_Mg3Ga4Rh
_cell_length_a 4.302
_cell_length_b 6.494
_cell_length_c 6.819
_cell_angle_alpha 118.44
_cell_angle_beta 108.39
_cell_angle_gamma 90.00
_space_group_name_H-M_alt 'P 1'
_space_group_IT_number 1
loop_
_space_group_symop_operation_xyz
'x,y,z'
loop_
_atom_site_label
_atom_site_type_symbol
_atom_site_fract_x
_atom_site_fract_y
_atom_site_fract_z
Ga1 Ga 0.354 0.149 0.708
Ga2 Ga 0.354 0.560 0.708
Ga3 Ga 0.646 0.440 0.292
Rh1 Rh 0.500 0.000 0.000
Mg1 Mg 0.136 0.136 0.272
Ga4 Ga 0.646 0.851 0.292
Mg2 Mg 0.000 0.500 0.000
Mg3 Mg 0.864 0.864 0.728
# - Symmetry: Immm, No. 71
# - Formation energy: -224 meV/atom
# - Size of the total moment: 0.0 μB per formula unit
# - D(E_F): 2.69 states/eV/f.u.
# - Total energy: -3.2547 eV/atom

# Li4MgGa2 PBE relaxed
data_Li4MgGa2
_cell_length_a 7.497
_cell_length_b 5.222
_cell_length_c 6.986
_cell_angle_alpha 90.00
_cell_angle_beta 115.89
_cell_angle_gamma 90.00
_space_group_name_H-M_alt 'P 1'
_space_group_IT_number 1
loop_
_space_group_symop_operation_xyz
'x,y,z'
loop_
_atom_site_label
_atom_site_type_symbol
_atom_site_fract_x
_atom_site_fract_y
_atom_site_fract_z
Mg1 Mg 0.787 0.250 0.715
Ga1 Ga 0.635 0.750 0.583
Li1 Li 0.944 0.250 0.159
Li2 Li 0.091 0.250 0.579
Li3 Li 0.571 0.002 0.217
Li4 Li 0.056 0.750 0.841
Li5 Li 0.429 0.502 0.783
Li6 Li 0.571 0.498 0.217
Li7 Li 0.429 0.998 0.783
Mg2 Mg 0.213 0.750 0.285
Ga2 Ga 0.776 0.750 0.007
Ga3 Ga 0.224 0.250 0.993
Ga4 Ga 0.365 0.250 0.417
Li8 Li 0.909 0.750 0.421
# - Symmetry: P2_1/m, No. 11
# - Formation energy: -169 meV/atom
# - Size of the total moment: 0.0 μB per formula unit
# - D(E_F): 2.51 states/eV/f.u.
# - Total energy: -2.3553 eV/atom

# ZrCo2 PBE relaxed
data_ZrCo2
_cell_length_a 3.390
_cell_length_b 3.390
_cell_length_c 4.120
_cell_angle_alpha 90.00
_cell_angle_beta 90.00
_cell_angle_gamma 90.00
_space_group_name_H-M_alt 'P 1'
_space_group_IT_number 1
loop_
_space_group_symop_operation_xyz
'x,y,z'
loop_
_atom_site_label
_atom_site_type_symbol
_atom_site_fract_x
_atom_site_fract_y
_atom_site_fract_z
Co1 Co 0.000 0.500 0.500
Zr1 Zr 0.000 0.000 0.000
Co2 Co 0.500 0.000 0.500
# - Symmetry: P4/mmm, No. 123
# - Formation energy: 199 meV/atom
# - Size of the total moment: 1.1 μB per formula unit
# - D(E_F): 4.24 states/eV/f.u.
# - Total energy: -7.3875 eV/atom

> Number 2 is which compound?

Rb3DyBi2Se6